## InSiSe2 (PBE)

Data for a relaxed structure of InSiSe2.

```
InSiSe2
1.0
4.053 0.000 0.000
0.000 5.402 0.000
0.000 0.000 9.079
In Si Se
2 2 4
Direct
0.000 0.000 0.000 In
0.500 0.500 0.000 In
0.000 0.500 0.262 Si
0.500 0.000 0.262 Si
0.000 0.000 0.410 Se
0.000 0.500 0.796 Se
0.500 0.000 0.796 Se
0.500 0.500 0.410 Se
```

- total magnetization (μB per formula unit) = 0.0
- formation energy (no corrections) (eV per atom) = 0.157

## SrTe2Au (PBE)

Data for a relaxed structure of SrTe2Au.

```
SrTe2Au
1.0
8.178 0.000 0.000
0.000 8.178 0.000
0.000 0.000 7.592
Sr Te Au
4 8 4
Direct
0.000 0.000 0.000 Sr
0.000 0.500 0.250 Sr
0.500 0.000 0.750 Sr
0.500 0.500 0.500 Sr
0.187 0.250 0.625 Te
0.250 0.687 0.875 Te
0.250 0.813 0.375 Te
0.313 0.250 0.125 Te
0.687 0.750 0.125 Te
0.750 0.187 0.375 Te
0.750 0.313 0.875 Te
0.813 0.750 0.625 Te
0.000 0.000 0.500 Au
0.000 0.500 0.750 Au
0.500 0.000 0.250 Au
0.500 0.500 0.000 Au
```

- total magnetization (μB per formula unit) = 0.0
- formation energy (no corrections) (eV per atom) = -0.761

## Ho3Er (PBE)

Data for a relaxed structure of Ho3Er.

```
Ho3Er
1.0
4.968 0.000 0.000
0.000 4.968 0.000
0.000 0.000 4.968
Ho Er
3 1
Direct
0.000 0.000 0.500 Ho
0.000 0.500 0.000 Ho
0.500 0.000 0.000 Ho
0.500 0.500 0.500 Er
```

- total magnetization (μB per formula unit) = 0.0
- ΔE to the lowest computed polymorph (meV per atom) = 22
- energy relative to the elements (eV/f.u.) = 0.1

## Sr2H2Pd (PBE)

Data for a relaxed structure of Sr2H2Pd.

```
Sr2H2Pd
1.0
3.914 0.000 0.000
0.000 3.914 0.000
0.000 0.000 13.248
Sr H Pd
4 4 2
Direct
0.000 0.000 0.141 Sr
0.000 0.000 0.859 Sr
0.500 0.500 0.359 Sr
0.500 0.500 0.641 Sr
0.000 0.500 0.250 H
0.000 0.500 0.750 H
0.500 0.000 0.250 H
0.500 0.000 0.750 H
0.000 0.000 0.500 Pd
0.500 0.500 0.000 Pd
```

- total magnetization (μB per formula unit) = 0.0
- ΔE to the lowest computed polymorph (meV per atom) = 0